# HgMoAu2

Crystalline HgMoAu2 at its relaxed geometry (GGA-PBEsol, the Alexandria database).

Energy of formation from the pure elements ... 0.213 eV per atom
Electronic total energy ... -4.832 eV per atom
Spin magnetization ... 0.0 μB per formula unit

Cell: 2.8845 2.8845 28.7783 Å, 90.00 90.00 120.00°
Space group R-3m (No. 166, hexagonal axes)
One atom of each set of equivalent atoms:
1 Hg 0.0000 0.0000 0.0000 (multiplicity 3)
2 Mo 0.0000 0.0000 0.5000 (multiplicity 3)
3 Au 0.0000 0.0000 0.2451 (multiplicity 6)

# Ca2PtAu

Crystalline Ca2PtAu at its relaxed geometry (GGA-PBEsol, the Alexandria database).

Energy of formation from the pure elements ... -0.647 eV per atom
Electronic total energy ... -4.435 eV per atom
Spin magnetization ... 0.0 μB per formula unit

Cell: 4.183 4.183 9.575 Å, 90.00 90.00 90.00°
Space group I-4m2 (No. 119)
One atom of each set of equivalent atoms:
1 Ca 0.000 0.000 0.000 (multiplicity 2)
2 Ca 0.000 0.500 0.250 (multiplicity 2)
3 Pt 0.000 0.000 0.500 (multiplicity 2)
4 Au 0.000 0.500 0.750 (multiplicity 2)

# RbNb3Tl

Crystalline RbNb3Tl at its relaxed geometry (GGA-PBEsol, the Alexandria database).

Energy of formation from the pure elements ... 2.245 eV per atom
Electronic total energy ... -4.979 eV per atom
Spin magnetization ... 3.0 μB per formula unit

Cell: 5.271 5.271 5.271 Å, 90.00 90.00 90.00°
Space group Pm-3m (No. 221)
One atom of each set of equivalent atoms:
1 Rb 0.000 0.000 0.000 (multiplicity 1)
2 Nb 0.000 0.500 0.500 (multiplicity 3)
3 Tl 0.500 0.500 0.500 (multiplicity 1)